ScReTe4 meta-GGA SCAN single point on PBEsol structure; spin magnetization = 3.03 Bohr magnetons per cell; raw formation energy = 1.18 eV/atom; space group = F-43m, No. 216
1.0
0.000 4.271 4.271
4.271 0.000 4.271
4.271 4.271 0.000
Sc Re Te
1 1 4
Direct
0.000 0.000 0.000
0.750 0.750 0.750
0.376 0.376 0.376
0.376 0.376 0.873
0.376 0.873 0.376
0.873 0.376 0.376